(1)
The following is a PBE calculation of a geometry-optimized ScBeOs2 structure, from the Open Quantum Materials Database.

Cell: 4.3384 4.3384 4.3384 Å, 60.00 60.00 60.00°
Atoms (fractional coordinates):
Os  0.7500  0.7500  0.7500
Os  0.0000  0.0000  0.0000
Sc  0.2500  0.2500  0.2500
Be  0.5000  0.5000  0.5000

Values from the calculation:
SG: F-43m, No. 216
Total DFT energy (no corrections) (eV per atom): -8.06



(2)
The following is a PBE calculation of a geometry-optimized LaPr structure, from the Open Quantum Materials Database.

Cell: 6.6181 6.6181 6.6987 Å, 90.00 90.00 86.39°
Atoms (fractional coordinates):
La  0.5049  0.8656  0.2500
La  0.8656  0.5049  0.7500
La  0.1344  0.4951  0.2500
La  0.4951  0.1344  0.7500
Pr  0.0000  0.0000  0.0000
Pr  0.0000  0.0000  0.5000
Pr  0.6457  0.3543  0.2500
Pr  0.3543  0.6457  0.7500

Values from the calculation:
SG: Cmcm, No. 63
Total DFT energy (no corrections) (eV per atom): -4.72
ΔH_f (0 K) (meV per atom): 130



(3)
The following is a PBE calculation of a geometry-optimized La2Ag2SnPb structure, from the Open Quantum Materials Database.

Cell: 4.8826 4.8826 7.8548 Å, 90.00 90.00 120.00°
Atoms (fractional coordinates):
Pb  0.0000  0.0000  0.5528
Ag  0.3333  0.6667  0.4632
Ag  0.0000  0.0000  0.9763
Sn  0.3333  0.6667  0.0497
La  0.6667  0.3333  0.2675
La  0.6667  0.3333  0.7712

Values from the calculation:
SG: P3m1, No. 156
Total DFT energy (no corrections) (eV per atom): -4.45



Computed total magnetic moment, in the same sequence as the records: 0.02; 0.00; 0.00 μB per formula unit.